Compound: CuSn2PdBr
Source: Alexandria via LeMat-Bulk
Functional: meta-GGA SCAN
Structure: PBEsol geometry

Total DFT energy (no corrections) ... -27.54 eV/atom
Total magnetization ... 0.0 μB/f.u.
E_form (uncorrected) ... 313 meV/atom

Cell lengths 4.942, 4.942, 4.793 Å; angles 90.00, 90.00, 90.00 degrees
Space group P4/mmm (No. 123)
One atom of each set of equivalent atoms:
1 Cu 0.000 0.000 0.000 (multiplicity 1)
2 Sn 0.000 0.500 0.000 (multiplicity 2)
3 Pd 0.000 0.000 0.500 (multiplicity 1)
4 Br 0.500 0.500 0.500 (multiplicity 1)

Compound: CrCoCu2
Source: Alexandria via LeMat-Bulk
Functional: meta-GGA SCAN
Structure: PBEsol geometry

Energy of formation from the pure elements ... 0.22 eV/atom
Total DFT energy (no corrections) ... -16.30 eV/atom
Total magnetization ... 1.8 μB/f.u.

Cell lengths 3.404, 3.404, 7.698 Å; angles 90.00, 90.00, 90.00 degrees
Space group I4/mmm (No. 139)
One atom of each set of equivalent atoms:
1 Cr 0.000 0.000 0.000 (multiplicity 2)
2 Co 0.000 0.000 0.500 (multiplicity 2)
3 Cu 0.000 0.500 0.250 (multiplicity 4)